Computed, not measured: an optimized crystal structure of ZrAlIn at the PBE level of DFT.

Properties
- Total moment: 0.0 μB per formula unit

The structure in extended XYZ format:
```
3
Lattice="-1.6337 1.6337 5.8405 1.6337 -1.6337 5.8405 1.6337 1.6337 -5.8405" Properties=species:S:1:pos:R:3 pbc="T T T"
Zr 0.0000 0.0000 0.0000
Al 0.0000 0.0000 4.0679
In 0.0000 0.0000 8.0110
```

---

Computed, not measured: an optimized crystal structure of ZrAlIn at the PBE level of DFT.

Properties
- Total moment: 0.0 μB per formula unit

The structure in extended XYZ format:
```
3
Lattice="3.1609 0.0000 0.0000 -1.5804 2.7374 0.0000 0.0000 0.0000 7.4525" Properties=species:S:1:pos:R:3 pbc="T T T"
Zr 0.0000 0.0000 0.0000
Al 1.5804 0.9125 2.3662
In 0.0000 1.8249 4.8300
```

---

Computed, not measured: an optimized crystal structure of ZrAlIn2 at the PBE level of DFT.

Properties
- Total moment: 0.0 μB per formula unit

The structure in extended XYZ format:
```
4
Lattice="-2.0963 2.0963 4.8046 2.0963 -2.0963 4.8046 2.0963 2.0963 -4.8046" Properties=species:S:1:pos:R:3 pbc="T T T"
Zr 0.0000 0.0000 0.0000
Al 2.0963 0.0000 2.4023
In 0.0000 0.0000 4.8046
In 0.0000 2.0963 2.4023
```

---

Computed, not measured: an optimized crystal structure of Zr3AlIn at the PBE level of DFT.

Properties
- Total moment: 0.0 μB per formula unit

The structure in extended XYZ format:
```
5
Lattice="5.0234 0.0000 0.0000 0.0000 5.0234 0.0000 0.0000 0.0000 5.0234" Properties=species:S:1:pos:R:3 pbc="T T T"
Zr 0.0000 0.0000 2.5117
Zr 0.0000 2.5117 0.0000
Zr 2.5117 0.0000 0.0000
Al 0.0000 0.0000 0.0000
In 2.5117 2.5117 2.5117
```

---

Computed, not measured: an optimized crystal structure of ZrAlIn at the PBE level of DFT.

Properties
- Total moment: 0.0 μB per formula unit

The structure in extended XYZ format:
```
3
Lattice="0.0000 2.5004 5.8350 2.1479 0.0000 5.8350 2.1479 2.5004 0.0000" Properties=species:S:1:pos:R:3 pbc="T T T"
Zr 0.0000 0.0000 0.0000
Al 2.1479 2.5004 7.6296
In 2.1479 2.5004 3.6898
```

---

Computed, not measured: an optimized crystal structure of Zr2AlIn4 at the PBE level of DFT.

Properties
- Total moment: 0.0 μB per formula unit

The structure in extended XYZ format:
```
7
Lattice="0.0000 4.3331 4.3508 4.3079 0.0000 4.3508 4.3079 4.3331 0.0000" Properties=species:S:1:pos:R:3 pbc="T T T"
Zr 4.3079 2.1666 2.1754
Zr 0.0000 2.1666 2.1754
Al 0.0000 0.0000 0.0000
In 2.1540 2.1666 0.0000
In 2.1540 0.0000 2.1754
In 2.1540 4.3331 2.1754
In 2.1540 2.1666 4.3508
```

---

Computed, not measured: an optimized crystal structure of Zr5Al2In2 at the PBE level of DFT.

Properties
- Total moment: 0.0 μB per formula unit

The structure in extended XYZ format:
```
18
Lattice="7.2649 -3.7192 0.0000 7.2649 3.7192 0.0000 0.0000 0.0000 7.4006" Properties=species:S:1:pos:R:3 pbc="T T T"
Zr 0.0000 0.0000 0.0000
Zr 5.4213 2.3490 5.0476
Zr 5.4213 1.3701 1.3473
Zr 9.1086 2.3490 5.0476
Zr 9.1086 1.3701 1.3473
Zr 7.2649 0.0000 3.7003
Zr 5.4213 -1.3701 6.0533
Zr 5.4213 -2.3490 2.3530
Zr 9.1086 -1.3701 6.0533
Zr 9.1086 -2.3490 2.3530
Al 7.2649 2.8262 2.7985
Al 7.2649 0.8929 6.4988
Al 7.2649 -0.8929 0.9018
Al 7.2649 -2.8262 4.6021
In 3.1771 0.0000 0.0000
In 4.0879 0.0000 3.7003
In 10.4420 0.0000 3.7003
In 11.3528 0.0000 0.0000
```

---

Computed, not measured: an optimized crystal structure of Zr6AlIn3 at the PBE level of DFT.

Properties
- Total moment: 0.0 μB per formula unit

The structure in extended XYZ format:
```
20
Lattice="5.4565 0.0000 0.0000 0.0000 8.7244 0.0000 -5.4009 0.0000 9.7669" Properties=species:S:1:pos:R:3 pbc="T T T"
Zr -2.3261 1.6568 4.3666
Zr -5.0266 2.7054 9.2500
Zr -0.4243 5.8417 4.4368
Zr -3.1248 7.2449 9.3203
Zr 0.9019 0.9758 2.3444
Zr -1.7986 3.3865 7.2279
Zr 1.8541 5.3380 2.5390
Zr -0.8463 7.7487 7.4225
Zr 3.1804 1.4795 0.4466
Zr 0.4799 2.8827 5.3301
Zr 5.0821 6.0191 0.5168
Zr 2.3817 7.0676 5.4003
Al 0.0000 0.0000 0.0000
Al -2.7005 4.3622 4.8834
In -3.4837 0.8147 7.2906
In -0.7833 3.5475 2.4071
In 0.0278 0.0000 4.8834
In 2.7282 4.3622 0.0000
In 0.8388 5.1769 7.3597
In 3.5393 7.9097 2.4763
```

---

Computed, not measured: an optimized crystal structure of ZrAlIn2 at the PBE level of DFT.

Properties
- Total moment: 0.0 μB per formula unit

The structure in extended XYZ format:
```
4
Lattice="2.9994 0.0000 0.0000 0.0000 5.1181 0.0000 0.0000 0.0000 5.6653" Properties=species:S:1:pos:R:3 pbc="T T T"
Zr 0.0000 0.0000 0.0000
Al 1.4997 0.0000 2.8326
In 1.4997 2.5590 1.3938
In 1.4997 2.5590 4.2714
```

---

Computed, not measured: an optimized crystal structure of Zr2AlIn at the PBE level of DFT.

Properties
- Total moment: 0.0 μB per formula unit

The structure in extended XYZ format:
```
4
Lattice="3.1045 0.0000 0.0000 0.0000 4.2799 0.0000 0.0000 0.0000 6.2611" Properties=species:S:1:pos:R:3 pbc="T T T"
Zr 0.0000 0.0000 1.5117
Zr 0.0000 0.0000 4.7494
Al 1.5522 2.1399 0.0000
In 1.5522 2.1399 3.1306
```

---

Computed, not measured: an optimized crystal structure of Zr2AlIn at the PBE level of DFT.

Properties
- Total moment: 0.0 μB per formula unit

The structure in extended XYZ format:
```
4
Lattice="2.1766 -2.1802 0.0000 2.1766 2.1802 0.0000 0.0000 0.0000 8.7547" Properties=species:S:1:pos:R:3 pbc="T T T"
Zr 0.0000 0.0000 2.0071
Zr 0.0000 0.0000 6.7475
Al 2.1766 0.0000 0.0000
In 2.1766 0.0000 4.3773
```

---

Computed, not measured: an optimized crystal structure of ZrAlIn2 at the PBE level of DFT.

Properties
- Total moment: 0.0 μB per formula unit

The structure in extended XYZ format:
```
4
Lattice="3.0124 0.0000 0.0000 0.0000 5.1041 0.0000 -0.0006 0.0000 5.6749" Properties=species:S:1:pos:R:3 pbc="T T T"
Zr 0.0000 0.0000 0.0000
Al 1.5034 2.5520 4.3681
In 1.5035 0.0000 2.9211
In 1.5108 2.5520 1.3882
```

---

Computed, not measured: an optimized crystal structure of AlIr at the PBE level of DFT.

Properties
- Total moment: 0.0 μB per formula unit

The structure in extended XYZ format:
```
2
Lattice="1.4318 0.8267 4.0528 -1.4318 0.8267 4.0528 0.0000 -1.6534 4.0528" Properties=species:S:1:pos:R:3 pbc="T T T"
Al 0.0000 0.0000 0.0000
Ir 0.0000 0.0000 6.0792
```

---

Computed, not measured: an optimized crystal structure of AlIr2 at the PBE level of DFT.

Properties
- Total moment: 0.0 μB per formula unit

The structure in extended XYZ format:
```
9
Lattice="6.3574 0.0000 0.0000 -3.1787 5.5056 0.0000 0.0000 0.0000 3.7808" Properties=species:S:1:pos:R:3 pbc="T T T"
Al 0.0000 0.0000 0.0000
Al 0.0000 3.6704 1.8904
Al 3.1787 1.8352 1.8904
Ir -0.8128 1.4078 1.8904
Ir -1.9008 3.2922 0.0000
Ir 1.6256 0.0000 1.8904
Ir 1.2779 2.2134 0.0000
Ir 3.8016 0.0000 0.0000
Ir 2.3659 4.0978 1.8904
```

---

Computed, not measured: an optimized crystal structure of Al4Ir at the PBE level of DFT.

Properties
- Total moment: 0.0 μB per formula unit

The structure in extended XYZ format:
```
5
Lattice="4.7617 0.0000 0.0000 0.0000 4.7617 0.0000 0.0000 0.0000 4.7617" Properties=species:S:1:pos:R:3 pbc="T T T"
Al 0.0000 0.0000 0.0000
Al 0.0000 2.3809 2.3809
Al 2.3809 0.0000 2.3809
Al 2.3809 2.3809 0.0000
Ir 2.3809 2.3809 2.3809
```

---

Computed, not measured: an optimized crystal structure of Al5Ir3 at the PBE level of DFT.

Properties
- Total moment: 0.0 μB per formula unit

The structure in extended XYZ format:
```
16
Lattice="7.4065 0.0000 0.0000 -3.7032 6.4142 0.0000 0.0000 0.0000 5.1122" Properties=species:S:1:pos:R:3 pbc="T T T"
Al -0.9383 1.6252 1.2780
Al -2.7649 4.7890 3.8341
Al 1.8766 0.0000 1.2780
Al 0.9383 1.6252 3.8341
Al 0.0000 4.2761 0.0000
Al 0.0000 4.2761 2.5561
Al 3.7032 2.1381 0.0000
Al 3.7032 2.1381 2.5561
Al 5.5299 0.0000 3.8341
Al 2.7649 4.7890 1.2780
Ir -1.4295 2.4760 3.8341
Ir -2.2737 3.9382 1.2780
Ir 2.8590 0.0000 3.8341
Ir 1.4295 2.4760 1.2780
Ir 4.5474 0.0000 1.2780
Ir 2.2737 3.9382 3.8341
```

---

Computed, not measured: an optimized crystal structure of AlIr2 at the PBE level of DFT.

Properties
- Total moment: 0.0 μB per formula unit

The structure in extended XYZ format:
```
6
Lattice="4.9506 -1.3917 0.0000 4.9506 1.3917 0.0000 -2.0005 0.0000 6.2396" Properties=species:S:1:pos:R:3 pbc="T T T"
Al -0.2649 0.0000 1.8480
Al 8.1657 0.0000 4.3916
Ir 2.3765 0.0000 2.3263
Ir 1.5871 0.0000 6.1653
Ir 6.3136 0.0000 0.0743
Ir 5.5243 0.0000 3.9133
```

---

Computed, not measured: an optimized crystal structure of Al7Ir3 at the PBE level of DFT.

Properties
- Total moment: 0.0 μB per formula unit

The structure in extended XYZ format:
```
20
Lattice="-4.3830 4.3830 4.3830 4.3830 -4.3830 4.3830 4.3830 4.3830 -4.3830" Properties=species:S:1:pos:R:3 pbc="T T T"
Al 1.3625 1.3625 -1.3625
Al 3.0206 3.0206 -3.0206
Al 1.3625 -1.3625 1.3625
Al 3.0206 -3.0206 3.0206
Al 4.3830 2.1915 0.0000
Al 4.3830 0.0000 2.1915
Al -1.3625 1.3625 1.3625
Al 1.3625 1.3625 1.3625
Al 2.1915 4.3830 0.0000
Al 2.1915 0.0000 4.3830
Al -3.0206 3.0206 3.0206
Al 3.0206 3.0206 3.0206
Al 0.0000 4.3830 2.1915
Al 0.0000 2.1915 4.3830
Ir 2.9980 0.0000 0.0000
Ir 5.7681 0.0000 0.0000
Ir 0.0000 2.9980 0.0000
Ir 0.0000 0.0000 2.9980
Ir 0.0000 5.7681 0.0000
Ir 0.0000 0.0000 5.7681
```

---

Computed, not measured: an optimized crystal structure of AlIr2 at the PBE level of DFT.

Properties
- Total moment: 0.0 μB per formula unit

The structure in extended XYZ format:
```
6
Lattice="1.3982 -6.9607 0.0000 1.3982 6.9607 0.0000 0.0000 0.0000 4.4357" Properties=species:S:1:pos:R:3 pbc="T T T"
Al 1.3982 5.5456 3.3268
Al 1.3982 -5.5456 1.1089
Ir 1.3982 3.7264 1.1089
Ir 1.3982 0.8606 3.3268
Ir 1.3982 -0.8606 1.1089
Ir 1.3982 -3.7264 3.3268
```

---

Computed, not measured: an optimized crystal structure of AlIr at the PBE level of DFT.

Properties
- Total moment: 0.0 μB per formula unit

The structure in extended XYZ format:
```
6
Lattice="5.9504 -1.4208 0.0000 5.9504 1.4208 0.0000 -1.4434 0.0000 5.1202" Properties=species:S:1:pos:R:3 pbc="T T T"
Al 0.0000 0.0000 0.0000
Al 3.6343 0.0000 1.0305
Al 6.8230 0.0000 4.0897
Ir -0.7217 0.0000 2.5601
Ir 2.9706 0.0000 3.6619
Ir 7.4867 0.0000 1.4583
```

---

Number 1: energy of formation from the pure elements -0.1696 eV per atom. Number 2: energy of formation from the pure elements -0.0591 eV per atom. Number 3: energy of formation from the pure elements -0.2444 eV per atom. Number 4: energy of formation from the pure elements 0.3478 eV per atom. Number 5: energy of formation from the pure elements -0.1765 eV per atom. Number 6: energy of formation from the pure elements -0.1466 eV per atom. Number 7: energy of formation from the pure elements -0.2815 eV per atom. Number 8: energy of formation from the pure elements -0.0612 eV per atom. Number 9: energy of formation from the pure elements -0.1214 eV per atom. Number 10: energy of formation from the pure elements -0.3608 eV per atom. Number 11: energy of formation from the pure elements -0.3927 eV per atom. Number 12: energy of formation from the pure elements -0.1254 eV per atom. Number 13: energy of formation from the pure elements -0.5996 eV per atom. Number 14: energy of formation from the pure elements -0.2372 eV per atom. Number 15: energy of formation from the pure elements -0.0138 eV per atom. Number 16: energy of formation from the pure elements -0.6801 eV per atom. Number 17: energy of formation from the pure elements -0.4783 eV per atom. Number 18: energy of formation from the pure elements -0.6352 eV per atom. Number 19: energy of formation from the pure elements -0.3672 eV per atom. Number 20: energy of formation from the pure elements -0.6486 eV per atom.